Entry 1:
CuBiPCl2 | PBE | optimized geometry

polymorph energy (0 for the lowest one): 0 meV per atom
DOS(E_F): 0.620 states/eV/atom
V: 21.046 Å³ per atom
ΔE_f (raw): 0.08 eV per atom
mass density: 5.9 g/cm³

Lattice parameters (Å, degrees): 4.5906 4.5906 4.9935 90.00 90.00 90.00
With the nearest neighbours (Å) after each atom.
Space group P4/mmm (No. 123)
Asymmetric unit:
Cu 0.0000 0.0000 0.0000 (multiplicity 1)  4 Cl 2.30, 2 P 2.50
Bi 0.5000 0.5000 0.5000 (multiplicity 1)  4 P 3.25, 8 Cl 3.39
P 0.0000 0.0000 0.5000 (multiplicity 1)  2 Cu 2.50
Cl 0.0000 0.5000 0.0000 (multiplicity 2)  2 Cu 2.30

Entry 2:
PmPrMgBi | PBE | optimized geometry

DOS(E_F): 0.963 states/eV/atom
ΔE_f: -0.37 eV per atom
V: 30.312 Å³ per atom
mass density: 7.1 g/cm³

Lattice parameters (Å, degrees): 7.8568 7.8568 7.8568 90.00 90.00 90.00
With the nearest neighbours (Å) after each atom.
Space group F-43m (No. 216)
Asymmetric unit:
Pm 0.0000 0.0000 0.0000 (multiplicity 4)  4 Bi 3.40, 4 Mg 3.40
Pr 0.0000 0.0000 0.5000 (multiplicity 4)  4 Bi 3.40, 4 Mg 3.40
Mg 0.2500 0.2500 0.2500 (multiplicity 4)  4 Pr 3.40, 4 Pm 3.40
Bi 0.2500 0.2500 0.7500 (multiplicity 4)  4 Pr 3.40, 4 Pm 3.40